# Ta5Mn3O16

Ta5Mn3O16 after structural relaxation (PBE with a Hubbard U, Alexandria).

Results
VASP energy: -9.130 eV per atom
Crystal system: monoclinic
Density: 6.82 g cm⁻³

Structure (POSCAR):
```
Ta5Mn3O16
1.0
5.539 -3.091 0.000
5.539 3.091 0.000
-0.344 0.000 9.427
Ta Mn O
5 3 16
Cartesian
0.000 0.000 0.000
3.444 0.000 4.894
6.430 1.545 2.721
5.314 0.000 7.319
6.430 -1.545 2.721
2.543 1.525 7.586
2.543 -1.525 7.586
9.241 0.000 2.805
2.690 1.423 3.733
0.198 0.000 3.786
1.596 0.000 1.545
4.947 1.761 1.499
2.075 0.000 6.175
4.492 1.270 6.072
6.020 1.621 8.468
3.610 0.000 8.391
2.690 -1.423 3.733
5.479 0.000 3.671
4.492 -1.270 6.072
7.302 0.000 1.811
7.187 0.000 6.699
4.947 -1.761 1.499
6.020 -1.621 8.468
9.048 0.000 8.584
```